(1)
DFT (PBE) results for a relaxed structure of DyTm2Lu4Cu2Te2.

abc: 9.1587 9.1587 9.1587
angles: 155.34 67.95 117.82
Element x y z (fractional)
Cu: 0.3049 0.0700 0.2349
Cu: 0.8351 0.0700 0.7651
Dy: 0.9980 0.9980 0.0000
Lu: 0.6909 0.3763 0.3146
Lu: 0.0882 0.7332 0.3550
Lu: 0.3782 0.7332 0.6450
Lu: 0.0617 0.3763 0.6854
Te: 0.3361 0.3361 0.0000
Te: 0.7322 0.2322 0.5000
Tm: 0.7134 0.5815 0.1319
Tm: 0.4497 0.5815 0.8681

## Properties
SG = Imm2 (44)
total moment = 0.04 μB per formula unit
VASP energy = -4.6952 eV/atom



(2)
DFT (PBE) results for a relaxed structure of DyY2Tm2Lu2Cu2Te2.

abc: 9.2425 9.2425 9.2425
angles: 155.35 67.69 118.08
Element x y z (fractional)
Cu: 0.6487 0.4099 0.2388
Cu: 0.1710 0.4099 0.7612
Dy: 0.4798 0.4798 0.0000
Lu: 0.4141 0.0987 0.3154
Lu: 0.7833 0.0987 0.6846
Te: 0.1394 0.1394 0.0000
Te: 0.7439 0.2439 0.5000
Tm: 0.0238 0.8934 0.1305
Tm: 0.7629 0.8934 0.8695
Y: 0.0947 0.7395 0.3551
Y: 0.3844 0.7395 0.6449

## Properties
SG = Imm2 (44)
total moment = 0.08 μB per formula unit
VASP energy = -5.0624 eV/atom



(3)
DFT (PBE) results for a relaxed structure of Dy3Y2Lu2Cu2Te2.

abc: 9.2653 9.2653 9.2653
angles: 155.32 67.80 117.98
Element x y z (fractional)
Cu: 0.6724 0.4093 0.2631
Cu: 0.1463 0.4093 0.7369
Dy: 0.2641 0.8937 0.3704
Dy: 0.9797 0.4797 0.5000
Dy: 0.5234 0.8937 0.6296
Lu: 0.2830 0.0981 0.1849
Lu: 0.9131 0.0981 0.8151
Te: 0.2406 0.2406 0.0000
Te: 0.6428 0.1428 0.5000
Y: 0.8849 0.7404 0.1445
Y: 0.5959 0.7404 0.8555

## Properties
SG = Imm2 (44)
total moment = 0.16 μB per formula unit
VASP energy = -5.0879 eV/atom



(4)
DFT (PBE) results for a relaxed structure of Dy2Y3Lu2Cu2Te2.

abc: 9.2672 9.2672 9.2672
angles: 155.25 67.83 117.98
Element x y z (fractional)
Cu: 0.6462 0.4094 0.2368
Cu: 0.1726 0.4094 0.7632
Dy: 0.0232 0.8934 0.1298
Dy: 0.7637 0.8934 0.8702
Lu: 0.4128 0.0981 0.3147
Lu: 0.7834 0.0981 0.6853
Te: 0.1425 0.1425 0.0000
Te: 0.7408 0.2408 0.5000
Y: 0.4803 0.4803 0.0000
Y: 0.0958 0.7403 0.3556
Y: 0.3847 0.7403 0.6444

## Properties
SG = Imm2 (44)
total moment = 0.24 μB per formula unit
VASP energy = -5.2630 eV/atom



(5)
DFT (PBE) results for a relaxed structure of DyY4Lu2Cu2Te2.

abc: 9.2794 9.2794 9.2794
angles: 155.27 67.87 117.93
Element x y z (fractional)
Cu: 0.6458 0.4099 0.2360
Cu: 0.1739 0.4099 0.7640
Dy: 0.4798 0.4798 0.0000
Lu: 0.4121 0.0975 0.3146
Lu: 0.7830 0.0975 0.6854
Te: 0.1436 0.1436 0.0000
Te: 0.7395 0.2395 0.5000
Y: 0.0218 0.8933 0.1285
Y: 0.0965 0.7409 0.3556
Y: 0.3853 0.7409 0.6444
Y: 0.7648 0.8933 0.8715

## Properties
SG = Imm2 (44)
total moment = 0.36 μB per formula unit
VASP energy = -5.4331 eV/atom



(6)
DFT (PBE) results for a relaxed structure of DyMgCuSeS2.

abc: 6.5199 6.5199 10.4955
angles: 90.00 90.00 146.69
Element x y z (fractional)
Cu: 0.0199 0.9801 0.2500
Cu: 0.9801 0.0199 0.7500
Dy: 0.5000 0.5000 0.0000
Dy: 0.5000 0.5000 0.5000
Mg: 0.7173 0.2827 0.2500
Mg: 0.2827 0.7173 0.7500
S: 0.1410 0.8589 0.0839
S: 0.1410 0.8589 0.4161
S: 0.8589 0.1410 0.5839
S: 0.8589 0.1410 0.9161
Se: 0.3900 0.6100 0.2500
Se: 0.6100 0.3900 0.7500

## Properties
SG = Cmcm (63)
total moment = 0.00 μB per formula unit
VASP energy = -4.8501 eV/atom



(7)
DFT (PBE) results for a relaxed structure of DyMgCuSe2S.

abc: 6.5723 6.5723 10.3799
angles: 90.00 90.00 146.17
Element x y z (fractional)
Cu: 0.5167 0.4833 0.2500
Cu: 0.4833 0.5167 0.7500
Dy: 0.0000 0.0000 0.0000
Dy: 0.0000 0.0000 0.5000
Mg: 0.2496 0.7504 0.2500
Mg: 0.7504 0.2496 0.7500
S: 0.9048 0.0952 0.2500
S: 0.0952 0.9048 0.7500
Se: 0.6514 0.3486 0.0798
Se: 0.6514 0.3486 0.4202
Se: 0.3486 0.6514 0.5798
Se: 0.3486 0.6514 0.9202

## Properties
SG = Cmcm (63)
total moment = 0.01 μB per formula unit
VASP energy = -4.6751 eV/atom



(8)
DFT (PBE) results for a relaxed structure of DyMgCuTe2S.

abc: 7.0788 7.0788 10.4461
angles: 90.00 90.00 146.87
Element x y z (fractional)
Cu: 0.5140 0.4860 0.2500
Cu: 0.4860 0.5140 0.7500
Dy: 0.0000 0.0000 0.0000
Dy: 0.0000 0.0000 0.5000
Mg: 0.2785 0.7215 0.2500
Mg: 0.7215 0.2785 0.7500
S: 0.9152 0.0848 0.2500
S: 0.0848 0.9152 0.7500
Te: 0.6551 0.3449 0.0763
Te: 0.6551 0.3449 0.4237
Te: 0.3449 0.6551 0.5763
Te: 0.3449 0.6551 0.9237

## Properties
SG = Cmcm (63)
total moment = 0.00 μB per formula unit
VASP energy = -4.2730 eV/atom